# Rb2HoAgCl6 | the Alexandria database | GGA-PBE | optimized geometry
data_Rb2HoAgCl6
_chemical_formula_sum 'Rb4 Ho2 Ag2 Cl12'
_cell_length_a 7.5136
_cell_length_b 7.6697
_cell_length_c 10.5150
_cell_angle_alpha 90.00
_cell_angle_beta 89.82
_cell_angle_gamma 90.00
_symmetry_space_group_name_H-M 'P 1'
_symmetry_Int_Tables_number 1
_symmetry_space_group_name_Hall 'P 1'
loop_
_atom_site_label
_atom_site_type_symbol
_atom_site_fract_x
_atom_site_fract_y
_atom_site_fract_z
Cl1 Cl 0.4312 0.9877 0.7462
Cl2 Cl 0.8006 0.7791 0.9653
Cl3 Cl 0.9312 0.5123 0.2462
Cl4 Cl 0.2802 0.7010 0.0355
Cl5 Cl 0.1994 0.2209 0.0347
Cl6 Cl 0.7802 0.7990 0.5355
Cl7 Cl 0.2198 0.2010 0.4645
Cl8 Cl 0.6994 0.2791 0.5347
Cl9 Cl 0.3006 0.7209 0.4653
Cl10 Cl 0.5688 0.0123 0.2538
Cl11 Cl 0.0688 0.4877 0.7538
Cl12 Cl 0.7198 0.2990 0.9645
Ho1 Ho 0.5000 0.0000 0.5000
Ho2 Ho 0.0000 0.5000 0.0000
Rb1 Rb 0.5121 0.5502 0.7506
Rb2 Rb 0.0121 0.9498 0.2506
Rb3 Rb 0.4879 0.4498 0.2494
Rb4 Rb 0.9879 0.0502 0.7494
Ag1 Ag 0.0000 0.5000 0.5000
Ag2 Ag 0.5000 0.0000 0.0000
# Fermi-level density of states, states/eV per cell: 0.00
# Raw formation energy, eV per atom: -1.827
# VASP energy, eV per atom: -3.87

***

# Rb3HoAg2Cl8 | the Alexandria database | GGA-PBE | optimized geometry
data_Rb3HoAg2Cl8
_chemical_formula_sum 'Rb3 Ho1 Ag2 Cl8'
_cell_length_a 7.4128
_cell_length_b 7.4128
_cell_length_c 9.8790
_cell_angle_alpha 90.00
_cell_angle_beta 90.00
_cell_angle_gamma 120.00
_symmetry_space_group_name_H-M 'P 1'
_symmetry_Int_Tables_number 1
_symmetry_space_group_name_Hall 'P 1'
loop_
_atom_site_label
_atom_site_type_symbol
_atom_site_fract_x
_atom_site_fract_y
_atom_site_fract_z
Rb1 Rb 0.3333 0.6667 0.6226
Rb2 Rb 0.6667 0.3333 0.3774
Rb3 Rb 0.0000 0.0000 0.0000
Cl1 Cl 0.3333 0.6667 0.9367
Cl2 Cl 0.6709 0.8355 0.3432
Cl3 Cl 0.1645 0.8355 0.3432
Cl4 Cl 0.6667 0.3333 0.0633
Cl5 Cl 0.8355 0.1645 0.6568
Cl6 Cl 0.3291 0.1645 0.6568
Cl7 Cl 0.1645 0.3291 0.3432
Cl8 Cl 0.8355 0.6709 0.6568
Ag1 Ag 0.6667 0.3333 0.8201
Ag2 Ag 0.3333 0.6667 0.1799
Ho1 Ho 0.0000 0.0000 0.5000
# Fermi-level density of states, states/eV per cell: 0.00
# Raw formation energy, eV per atom: -1.596
# VASP energy, eV per atom: -3.59

***

# RbHoAg2Cl6 | the Alexandria database | GGA-PBE | optimized geometry
data_RbHoAg2Cl6
_chemical_formula_sum 'Rb1 Ho1 Ag2 Cl6'
_cell_length_a 7.1556
_cell_length_b 7.1541
_cell_length_c 7.7197
_cell_angle_alpha 62.38
_cell_angle_beta 62.35
_cell_angle_gamma 59.96
_symmetry_space_group_name_H-M 'P 1'
_symmetry_Int_Tables_number 1
_symmetry_space_group_name_Hall 'P 1'
loop_
_atom_site_label
_atom_site_type_symbol
_atom_site_fract_x
_atom_site_fract_y
_atom_site_fract_z
Ag1 Ag 0.0019 0.0027 0.9935
Ag2 Ag 0.5213 0.5213 0.4359
Cl1 Cl 0.2620 0.9335 0.2300
Cl2 Cl 0.3369 0.7264 0.7606
Cl3 Cl 0.1769 0.3372 0.7599
Cl4 Cl 0.5746 0.2615 0.2300
Cl5 Cl 0.7264 0.1768 0.7598
Cl6 Cl 0.9335 0.5741 0.2303
Rb1 Rb 0.8022 0.8022 0.5932
Ho1 Ho 0.3260 0.3259 0.0221
# Fermi-level density of states, states/eV per cell: 0.00
# Raw formation energy, eV per atom: -1.480
# VASP energy, eV per atom: -3.71

***

# SrHoAgCl6 | the Alexandria database | GGA-PBE | optimized geometry
data_SrHoAgCl6
_chemical_formula_sum 'Sr2 Ho2 Ag2 Cl12'
_cell_length_a 6.9037
_cell_length_b 6.9037
_cell_length_c 12.8544
_cell_angle_alpha 90.00
_cell_angle_beta 90.00
_cell_angle_gamma 120.00
_symmetry_space_group_name_H-M 'P 1'
_symmetry_Int_Tables_number 1
_symmetry_space_group_name_Hall 'P 1'
loop_
_atom_site_label
_atom_site_type_symbol
_atom_site_fract_x
_atom_site_fract_y
_atom_site_fract_z
Sr1 Sr 0.0000 0.0000 0.0000
Sr2 Sr 0.0000 0.0000 0.5000
Cl1 Cl 0.0173 0.3565 0.6314
Cl2 Cl 0.6608 0.0173 0.3686
Cl3 Cl 0.3565 0.0173 0.1314
Cl4 Cl 0.9827 0.3392 0.1314
Cl5 Cl 0.3392 0.9827 0.6314
Cl6 Cl 0.6435 0.9827 0.8686
Cl7 Cl 0.3392 0.3565 0.8686
Cl8 Cl 0.0173 0.6608 0.8686
Cl9 Cl 0.3565 0.3392 0.3686
Cl10 Cl 0.9827 0.6435 0.3686
Cl11 Cl 0.6608 0.6435 0.1314
Cl12 Cl 0.6435 0.6608 0.6314
Ag1 Ag 0.6667 0.3333 0.7500
Ag2 Ag 0.3333 0.6667 0.2500
Ho1 Ho 0.6667 0.3333 0.2500
Ho2 Ho 0.3333 0.6667 0.7500
# Fermi-level density of states, states/eV per cell: 0.00
# Raw formation energy, eV per atom: -1.929
# VASP energy, eV per atom: -4.17

***

# HoTl2Ag2Cl6 | the Alexandria database | GGA-PBE | optimized geometry
data_HoTl2Ag2Cl6
_chemical_formula_sum 'Ho1 Tl2 Ag2 Cl6'
_cell_length_a 8.8190
_cell_length_b 7.2436
_cell_length_c 7.5763
_cell_angle_alpha 115.68
_cell_angle_beta 90.00
_cell_angle_gamma 127.50
_symmetry_space_group_name_H-M 'P 1'
_symmetry_Int_Tables_number 1
_symmetry_space_group_name_Hall 'P 1'
loop_
_atom_site_label
_atom_site_type_symbol
_atom_site_fract_x
_atom_site_fract_y
_atom_site_fract_z
Ho1 Ho 0.5000 0.0000 0.5000
Cl1 Cl 0.2979 0.0086 0.2501
Cl2 Cl 0.7107 0.0086 0.2501
Cl3 Cl 0.7712 0.5423 0.7572
Cl4 Cl 0.2893 0.9914 0.7499
Cl5 Cl 0.2288 0.4577 0.2428
Cl6 Cl 0.7021 0.9914 0.7499
Ag1 Ag 0.0563 0.1127 0.3775
Ag2 Ag 0.9437 0.8873 0.6225
Tl1 Tl 0.2874 0.5749 0.8552
Tl2 Tl 0.7126 0.4251 0.1448
# Fermi-level density of states, states/eV per cell: 2.30
# Raw formation energy, eV per atom: -1.151
# VASP energy, eV per atom: -3.52

***

# HoZnAgCl6 | the Alexandria database | GGA-PBE | optimized geometry
data_HoZnAgCl6
_chemical_formula_sum 'Ho2 Zn2 Ag2 Cl12'
_cell_length_a 6.5626
_cell_length_b 6.5626
_cell_length_c 12.2344
_cell_angle_alpha 90.00
_cell_angle_beta 90.00
_cell_angle_gamma 120.00
_symmetry_space_group_name_H-M 'P 1'
_symmetry_Int_Tables_number 1
_symmetry_space_group_name_Hall 'P 1'
loop_
_atom_site_label
_atom_site_type_symbol
_atom_site_fract_x
_atom_site_fract_y
_atom_site_fract_z
Ho1 Ho 0.6667 0.3333 0.7500
Ho2 Ho 0.3333 0.6667 0.2500
Cl1 Cl 0.3617 0.0166 0.1318
Cl2 Cl 0.3617 0.3451 0.3682
Cl3 Cl 0.6549 0.6383 0.1318
Cl4 Cl 0.9834 0.6383 0.3682
Cl5 Cl 0.3451 0.9834 0.6318
Cl6 Cl 0.3451 0.3617 0.8682
Cl7 Cl 0.0166 0.3617 0.6318
Cl8 Cl 0.6383 0.9834 0.8682
Cl9 Cl 0.0166 0.6549 0.8682
Cl10 Cl 0.9834 0.3451 0.1318
Cl11 Cl 0.6383 0.6549 0.6318
Cl12 Cl 0.6549 0.0166 0.3682
Zn1 Zn 0.6667 0.3333 0.2500
Zn2 Zn 0.3333 0.6667 0.7500
Ag1 Ag 0.0000 0.0000 0.0000
Ag2 Ag 0.0000 0.0000 0.5000
# Fermi-level density of states, states/eV per cell: 0.00
# Raw formation energy, eV per atom: -1.445
# VASP energy, eV per atom: -3.64

***

# Ag3I2Cl | the Alexandria database | GGA-PBE | optimized geometry
data_Ag3I2Cl
_chemical_formula_sum 'Ag3 I2 Cl1'
_cell_length_a 4.5584
_cell_length_b 4.5584
_cell_length_c 11.1161
_cell_angle_alpha 90.00
_cell_angle_beta 90.00
_cell_angle_gamma 120.00
_symmetry_space_group_name_H-M 'P 1'
_symmetry_Int_Tables_number 1
_symmetry_space_group_name_Hall 'P 1'
loop_
_atom_site_label
_atom_site_type_symbol
_atom_site_fract_x
_atom_site_fract_y
_atom_site_fract_z
Ag1 Ag 0.6667 0.3333 0.6008
Ag2 Ag 0.0000 0.0000 0.2483
Ag3 Ag 0.3333 0.6667 0.8996
I1 I 0.0000 0.0000 0.9926
I2 I 0.6667 0.3333 0.3456
Cl1 Cl 0.3333 0.6667 0.6631
# Raw formation energy, eV per atom: -0.306
# Energy above the most stable polymorph in this dataset, meV/atom: 7.9
# VASP energy, eV per atom: -2.56

***

# Ag3I2Cl2 | the Alexandria database | GGA-PBE | optimized geometry
data_Ag3I2Cl2
_chemical_formula_sum 'Ag3 I2 Cl2'
_cell_length_a 4.1027
_cell_length_b 3.9399
_cell_length_c 15.0125
_cell_angle_alpha 113.28
_cell_angle_beta 97.85
_cell_angle_gamma 90.00
_symmetry_space_group_name_H-M 'P 1'
_symmetry_Int_Tables_number 1
_symmetry_space_group_name_Hall 'P 1'
loop_
_atom_site_label
_atom_site_type_symbol
_atom_site_fract_x
_atom_site_fract_y
_atom_site_fract_z
I1 I 0.3181 0.4493 0.6362
I2 I 0.6819 0.5507 0.3638
Cl1 Cl 0.0602 0.6820 0.1205
Cl2 Cl 0.9398 0.3180 0.8795
Ag1 Ag 0.8434 0.0251 0.6868
Ag2 Ag 0.0000 0.0000 0.0000
Ag3 Ag 0.1566 0.9749 0.3132
# Fermi-level density of states, states/eV per cell: 4.80
# Raw formation energy, eV per atom: -0.262
# Energy above the most stable polymorph in this dataset, meV/atom: 32.2
# VASP energy, eV per atom: -2.45

***

# Ag2I2Cl | the Alexandria database | GGA-PBE | optimized geometry
data_Ag2I2Cl
_chemical_formula_sum 'Ag2 I2 Cl1'
_cell_length_a 4.3828
_cell_length_b 4.3828
_cell_length_c 8.2672
_cell_angle_alpha 74.63
_cell_angle_beta 74.63
_cell_angle_gamma 90.00
_symmetry_space_group_name_H-M 'P 1'
_symmetry_Int_Tables_number 1
_symmetry_space_group_name_Hall 'P 1'
loop_
_atom_site_label
_atom_site_type_symbol
_atom_site_fract_x
_atom_site_fract_y
_atom_site_fract_z
Ag1 Ag 0.2500 0.7500 0.5000
Ag2 Ag 0.7500 0.2500 0.5000
Cl1 Cl 0.0000 0.0000 0.0000
I1 I 0.3719 0.3719 0.2562
I2 I 0.6281 0.6281 0.7438
# Fermi-level density of states, states/eV per cell: 8.20
# Raw formation energy, eV per atom: -0.049
# Energy above the most stable polymorph in this dataset, meV/atom: 184.8
# VASP energy, eV per atom: -2.18

***

The records above yield total moment values of 0.00 0.00 0.00 0.00 0.00 0.00 0.00 0.00 0.00 μB per formula unit, respectively.